Entry from the Alexandria database: a geometry-optimized Zn5CuPd2 structure (PBE).

ΔH_f (0 K): -0.29 eV/atom
SG: No. 139

Cell lengths 6.8679, 6.8679, 6.8679 Å; angles 143.50, 143.50, 52.58 degrees
Closest atoms and distances in Å follow each position.
Positions (direct):
Zn 0.0000 0.0000 0.0000  8 Zn 2.64
Zn 0.1236 0.6236 0.5000  2 Cu 2.64, 2 Zn 2.64, 4 Pd 2.65-2.66
Zn 0.3764 0.8764 0.5000  2 Zn 2.64, 2 Cu 2.64, 4 Pd 2.65-2.66
Zn 0.6236 0.1236 0.5000  2 Cu 2.64, 2 Zn 2.64, 4 Pd 2.65-2.66
Zn 0.8764 0.3764 0.5000  2 Zn 2.64, 2 Cu 2.64, 4 Pd 2.65-2.66
Cu 0.5000 0.5000 0.0000  8 Zn 2.64
Pd 0.2502 0.2502 0.0000  8 Zn 2.65-2.66
Pd 0.7498 0.7498 0.0000  8 Zn 2.65-2.66